# 1
First-principles (PBE) data for BaCaSCl2 after structural relaxation, as listed in the Alexandria database.

Cell: 5.206 5.206 5.485 Å, 90.00 90.00 90.00°
Atoms (fractional coordinates):
1 Ba 0.000 0.000 0.000
2 Ca 0.500 0.500 0.500
3 S 0.500 0.500 0.000
4 Cl 0.000 0.500 0.500
5 Cl 0.500 0.000 0.500

Summary:
Energy, eV per cell: -22.332
Total magnetization, Bohr magnetons per cell: 0.000
V, Å³/cell: 148.7
Formation energy without anion corrections, eV/atom: -2.1174
Calculated density, Mg/m³: 3.13
SG: P4/mmm, No. 123

# 2
First-principles (PBE) data for TbCu3Sn3 after structural relaxation, as listed in the Alexandria database.

Cell: 8.260 8.260 8.260 Å, 50.26 50.26 50.26°
Atoms (fractional coordinates):
1 Tb 0.162 0.162 0.162
2 Tb 0.838 0.838 0.838
3 Cu 0.024 0.838 0.275
4 Cu 0.162 0.725 0.976
5 Cu 0.275 0.024 0.838
6 Cu 0.725 0.976 0.162
7 Cu 0.838 0.275 0.024
8 Cu 0.976 0.162 0.725
9 Sn 0.116 0.481 0.629
10 Sn 0.371 0.884 0.519
11 Sn 0.481 0.629 0.116
12 Sn 0.519 0.371 0.884
13 Sn 0.629 0.116 0.481
14 Sn 0.884 0.519 0.371

Summary:
Energy, eV per cell: -58.935
Total magnetization, Bohr magnetons per cell: 0.000
V, Å³/cell: 306.9
Energy of formation, meV/atom: -77
Calculated density, Mg/m³: 7.64
SG: R-3, No. 148

# 3
First-principles (PBE) data for Ba4Rh5 after structural relaxation, as listed in the Alexandria database.

Cell: 7.597 7.597 7.597 Å, 95.80 95.80 142.94°
Atoms (fractional coordinates):
1 Ba 0.000 0.284 0.284
2 Ba 0.000 0.716 0.716
3 Ba 0.284 0.000 0.284
4 Ba 0.716 0.000 0.716
5 Rh 0.000 0.000 0.000
6 Rh 0.372 0.372 0.744
7 Rh 0.372 0.628 0.000
8 Rh 0.628 0.372 0.000
9 Rh 0.628 0.628 0.256

Summary:
Energy, eV per cell: -42.716
Total magnetization, Bohr magnetons per cell: 2.232
V, Å³/cell: 250.5
Energy of formation, meV/atom: 193
Calculated density, Mg/m³: 7.05
SG: I4/mmm, No. 139

# 4
First-principles (PBE) data for BaNi2Cl after structural relaxation, as listed in the Alexandria database.

Cell: 5.824 5.824 5.824 Å, 44.31 44.31 44.31°
Atoms (fractional coordinates):
1 Ba 0.000 0.000 0.000
2 Ni 0.182 0.182 0.182
3 Ni 0.818 0.818 0.818
4 Cl 0.500 0.500 0.500

Summary:
Energy, eV per cell: -15.087
Total magnetization, Bohr magnetons per cell: 0.000
V, Å³/cell: 87.6
Formation energy without anion corrections, eV/atom: 0.0613
Calculated density, Mg/m³: 5.50
SG: R-3m, No. 166

# 5
First-principles (PBE) data for Li3Pr3Te2O12 after structural relaxation, as listed in the Alexandria database.

Cell: 11.064 11.064 11.064 Å, 109.47 109.47 109.47°
Atoms (fractional coordinates):
1 Li 0.125 0.750 0.875
2 Li 0.125 0.875 0.250
3 Li 0.250 0.125 0.875
4 Li 0.250 0.625 0.375
5 Li 0.375 0.250 0.625
6 Li 0.375 0.625 0.750
7 Li 0.625 0.375 0.250
8 Li 0.625 0.750 0.375
9 Li 0.750 0.375 0.625
10 Li 0.750 0.875 0.125
11 Li 0.875 0.125 0.750
12 Li 0.875 0.250 0.125
13 Pr 0.125 0.250 0.375
14 Pr 0.125 0.375 0.750
15 Pr 0.250 0.375 0.125
16 Pr 0.250 0.875 0.625
17 Pr 0.375 0.125 0.250
18 Pr 0.375 0.750 0.125
19 Pr 0.625 0.250 0.875
20 Pr 0.625 0.875 0.750
21 Pr 0.750 0.125 0.375
22 Pr 0.750 0.625 0.875
23 Pr 0.875 0.625 0.250
24 Pr 0.875 0.750 0.625
25 Te 0.000 0.000 0.000
26 Te 0.000 0.000 0.500
27 Te 0.000 0.500 0.000
28 Te 0.000 0.500 0.500
29 Te 0.500 0.000 0.000
30 Te 0.500 0.000 0.500
31 Te 0.500 0.500 0.000
32 Te 0.500 0.500 0.500
33 O 0.022 0.192 0.116
34 O 0.022 0.330 0.906
35 O 0.076 0.692 0.670
36 O 0.076 0.884 0.406
37 O 0.094 0.616 0.424
38 O 0.094 0.978 0.670
39 O 0.116 0.022 0.192
40 O 0.116 0.594 0.924
41 O 0.170 0.192 0.576
42 O 0.170 0.478 0.594
43 O 0.192 0.116 0.022
44 O 0.192 0.576 0.170
45 O 0.308 0.330 0.924
46 O 0.308 0.478 0.384
47 O 0.330 0.906 0.022
48 O 0.330 0.924 0.308
49 O 0.384 0.308 0.478
50 O 0.384 0.576 0.906
51 O 0.406 0.076 0.884
52 O 0.406 0.830 0.522
53 O 0.424 0.094 0.616
54 O 0.424 0.830 0.808
55 O 0.478 0.384 0.308
56 O 0.478 0.594 0.170
57 O 0.522 0.406 0.830
58 O 0.522 0.616 0.692
59 O 0.576 0.170 0.192
60 O 0.576 0.906 0.384
61 O 0.594 0.170 0.478
62 O 0.594 0.924 0.116
63 O 0.616 0.424 0.094
64 O 0.616 0.692 0.522
65 O 0.670 0.076 0.692
66 O 0.670 0.094 0.978
67 O 0.692 0.522 0.616
68 O 0.692 0.670 0.076
69 O 0.808 0.424 0.830
70 O 0.808 0.884 0.978
71 O 0.830 0.522 0.406
72 O 0.830 0.808 0.424
73 O 0.884 0.406 0.076
74 O 0.884 0.978 0.808
75 O 0.906 0.022 0.330
76 O 0.906 0.384 0.576
77 O 0.924 0.116 0.594
78 O 0.924 0.308 0.330
79 O 0.978 0.670 0.094
80 O 0.978 0.808 0.884

Summary:
Energy, eV per cell: -526.675
Total magnetization, Bohr magnetons per cell: 0.000
V, Å³/cell: 1042.7
Formation energy without anion corrections, eV/atom: -2.2903
Calculated density, Mg/m³: 5.67
SG: Ia-3d, No. 230

# 6
First-principles (PBE) data for LaInSe after structural relaxation, as listed in the Alexandria database.

Cell: 5.061 5.061 5.061 Å, 60.00 60.00 60.00°
Atoms (fractional coordinates):
1 La 0.000 0.000 0.000
2 In 0.500 0.500 0.500
3 Se 0.750 0.750 0.750

Summary:
Energy, eV per cell: -13.573
Total magnetization, Bohr magnetons per cell: 0.000
V, Å³/cell: 91.7
Formation energy without anion corrections, eV/atom: -0.8074
Calculated density, Mg/m³: 6.03
SG: F-43m, No. 216